CaCrCl2: relaxed, PBE.

Output
E_form (uncorrected): -0.8704 eV/atom
E above lowest polymorph: 57 meV per atom

Structure (POSCAR):
```
CaCrCl2
1.0
-6.7702 6.1735 -2.3469
-8.8055 2.9971 -1.7138
-7.7850 5.2311 1.2189
Cr Cl Ca
1 2 1
Direct
0.5118 0.5118 0.5118
0.0212 0.0212 0.0212
0.2225 0.2225 0.2225
0.7445 0.7445 0.7445
```